No. 1
Here is a geometry-optimized Tl2CuAgBr5 structure from the Alexandria database. Energies are from PBE-GGA.

abc: 4.106 10.677 13.164
angles: 90.00 90.00 101.09
Last column: magnetic moment on the atom in μB.
Fractional positions:
Br 0.350 0.699 0.992  0.01
Br 0.508 0.015 0.781  0.04
Cu 0.437 0.874 0.444  0.19
Br 0.036 0.072 0.034  0.06
Ag 0.216 0.433 0.027  0.02
Tl 0.883 0.766 0.804  0.01
Tl 0.117 0.234 0.304  0.01
Br 0.713 0.427 0.169  0.01
Br 0.676 0.351 0.895  0.04
Br 0.650 0.301 0.492  0.01
Br 0.287 0.573 0.669  0.01
Tl 0.878 0.757 0.177  0.00
Ag 0.784 0.567 0.527  0.02
Br 0.324 0.649 0.395  0.04
Br 0.492 0.985 0.281  0.04
Br 0.964 0.928 0.534  0.06
Cu 0.563 0.126 0.944  0.19
Tl 0.122 0.243 0.677  0.00

Values from the calculation:
For the magnetization, the calculation gives 0.84 μB/cell. The calculation puts the total energy at -2.764 eV/atom. The density of states at the Fermi level comes out at 9.5 states/eV/f.u.


No. 2
Here is a geometry-optimized TlCuAgBr4 structure from the Alexandria database. Energies are from PBE-GGA.

abc: 6.920 7.556 8.736
angles: 90.00 104.11 90.00
Last column: magnetic moment on the atom in μB.
Fractional positions:
Br 0.967 0.508 0.265  0.11
Br 0.523 0.250 0.453  0.10
Tl 0.757 0.750 0.928  0.01
Br 0.380 0.750 0.101  0.09
Br 0.033 0.008 0.735  0.11
Cu 0.796 0.250 0.682  0.38
Br 0.967 0.992 0.265  0.11
Br 0.033 0.492 0.735  0.11
Ag 0.280 0.250 0.644  0.07
Br 0.477 0.750 0.547  0.10
Cu 0.204 0.750 0.318  0.38
Br 0.620 0.250 0.899  0.09
Tl 0.243 0.250 0.072  0.01
Ag 0.720 0.750 0.356  0.07

Values from the calculation:
For the magnetization, the calculation gives 2.00 μB/cell. The calculation puts the total energy at -2.702 eV/atom. The density of states at the Fermi level comes out at 7.1 states/eV/f.u.


No. 3
Here is a geometry-optimized Tl3CuAg2Br6 structure from the Alexandria database. Energies are from PBE-GGA.

abc: 8.098 8.098 8.275
angles: 90.00 90.00 120.00
Fractional positions:
Br 0.692 0.846 0.306
Cu 0.000 0.000 0.500
Ag 0.667 0.333 0.787
Tl 0.000 0.000 0.000
Tl 0.333 0.667 0.592
Tl 0.667 0.333 0.408
Br 0.308 0.154 0.694
Br 0.846 0.154 0.694
Br 0.154 0.846 0.306
Br 0.154 0.308 0.306
Ag 0.333 0.667 0.213
Br 0.846 0.692 0.694

Values from the calculation:
For the magnetization, the calculation gives 0.00 μB/cell. The calculation puts the total energy at -2.684 eV/atom.


No. 4
Here is a geometry-optimized TlCuAgBr5 structure from the Alexandria database. Energies are from PBE-GGA.

abc: 7.993 7.993 9.722
angles: 102.04 102.04 116.90
Fractional positions:
Cu 0.341 0.659 0.750
Br 0.159 0.701 0.907
Br 0.701 0.159 0.407
Br 0.627 0.710 0.935
Tl 0.318 0.682 0.250
Tl 0.682 0.318 0.750
Ag 0.000 0.000 0.500
Br 0.299 0.841 0.593
Br 0.925 0.075 0.750
Br 0.373 0.290 0.065
Br 0.075 0.925 0.250
Br 0.841 0.299 0.093
Ag 0.000 0.000 0.000
Cu 0.659 0.341 0.250
Br 0.290 0.373 0.565
Br 0.710 0.627 0.435

Values from the calculation:
For the magnetization, the calculation gives 0.00 μB/cell. The calculation puts the total energy at -2.593 eV/atom. The density of states at the Fermi level comes out at 7.5 states/eV/f.u.


No. 5
Here is a geometry-optimized TlCu2AgBr8 structure from the Alexandria database. Energies are from PBE-GGA.

abc: 7.760 7.760 7.760
angles: 110.68 110.68 107.08
Fractional positions:
Tl 0.250 0.750 0.500
Br 0.312 0.499 0.186
Br 0.372 0.064 0.308
Br 0.874 0.688 0.186
Ag 0.000 0.000 0.000
Cu 0.500 0.500 0.000
Cu 0.750 0.250 0.500
Br 0.756 0.064 0.692
Br 0.501 0.688 0.814
Br 0.936 0.628 0.692
Br 0.312 0.126 0.814
Br 0.936 0.244 0.308

Values from the calculation:
For the magnetization, the calculation gives 0.00 μB/cell. The calculation puts the total energy at -2.471 eV/atom. The density of states at the Fermi level comes out at 14.2 states/eV/f.u.


No. 6
Here is a geometry-optimized Tl2CuAgBr6 structure from the Alexandria database. Energies are from PBE-GGA.

abc: 7.534 7.355 11.538
angles: 90.00 83.33 90.00
Fractional positions:
Br 0.302 0.745 0.033
Br 0.252 0.202 0.043
Br 0.752 0.298 0.543
Br 0.429 0.999 0.722
Br 0.198 0.245 0.467
Br 0.698 0.255 0.967
Br 0.071 0.499 0.778
Br 0.802 0.755 0.533
Br 0.248 0.702 0.457
Cu 0.000 0.500 0.500
Tl 0.487 0.448 0.231
Br 0.929 0.501 0.222
Tl 0.513 0.552 0.769
Br 0.748 0.798 0.957
Ag 0.000 0.500 0.000
Tl 0.987 0.052 0.731
Tl 0.013 0.948 0.269
Br 0.571 0.001 0.278
Ag 0.500 0.000 0.500
Cu 0.500 0.000 0.000

Values from the calculation:
For the magnetization, the calculation gives 0.00 μB/cell. The calculation puts the total energy at -2.670 eV/atom. The density of states at the Fermi level comes out at 2.0 states/eV/f.u.


No. 7
Here is a geometry-optimized TlCu2Ag2Br7 structure from the Alexandria database. Energies are from PBE-GGA.

abc: 7.269 7.269 11.578
angles: 71.70 71.70 60.00
Last column: magnetic moment on the atom in μB.
Fractional positions:
Br 0.401 0.117 0.719  0.08
Cu 0.925 0.925 0.224  0.36
Cu 0.075 0.075 0.776  0.36
Tl 0.500 0.500 0.500  0.02
Br 0.117 0.763 0.719  0.08
Br 0.883 0.599 0.281  0.08
Br 0.599 0.237 0.281  0.08
Br 0.237 0.883 0.281  0.08
Ag 0.242 0.242 0.274  0.05
Br 0.000 0.000 0.000  0.21
Br 0.763 0.401 0.719  0.08
Ag 0.758 0.758 0.726  0.05

Values from the calculation:
For the magnetization, the calculation gives 1.77 μB/cell. The calculation puts the total energy at -2.669 eV/atom. The density of states at the Fermi level comes out at 12.9 states/eV/f.u.


No. 8
Here is a geometry-optimized Tl3Cu2AgBr8 structure from the Alexandria database. Energies are from PBE-GGA.

abc: 7.506 7.506 9.388
angles: 90.00 90.00 120.00
Fractional positions:
Ag 0.000 0.000 0.500
Cu 0.667 0.333 0.803
Tl 0.667 0.333 0.388
Br 0.668 0.834 0.316
Br 0.333 0.667 0.950
Tl 0.333 0.667 0.612
Cu 0.333 0.667 0.197
Br 0.834 0.668 0.684
Br 0.834 0.166 0.684
Br 0.166 0.834 0.316
Tl 0.000 0.000 0.000
Br 0.332 0.166 0.684
Br 0.166 0.332 0.316
Br 0.667 0.333 0.050

Values from the calculation:
For the magnetization, the calculation gives 0.00 μB/cell. The calculation puts the total energy at -2.748 eV/atom. The density of states at the Fermi level comes out at 10.2 states/eV/f.u.


No. 9
Here is a geometry-optimized TmCuAg2Br6 structure from the Alexandria database. Energies are from PBE-GGA.

abc: 7.108 7.365 9.281
angles: 97.56 122.90 118.72
Last column: magnetic moment on the atom in μB.
Fractional positions:
Br 0.176 0.418 0.176  0.00
Cu 0.920 0.498 0.546  0.08
Ag 0.625 0.305 0.920  0.00
Br 0.393 0.826 0.672  0.01
Tm 0.956 0.971 0.931  0.00
Br 0.557 0.159 0.202  0.01
Br 0.052 0.140 0.705  0.00
Br 0.894 0.800 0.163  0.00
Ag 0.640 0.837 0.285  0.00
Br 0.752 0.522 0.704  0.01

Values from the calculation:
For the magnetization, the calculation gives 0.11 μB/cell. The calculation puts the total energy at -3.322 eV/atom. The density of states at the Fermi level comes out at 0.0 states/eV/f.u.


No. 10
Here is a geometry-optimized Dy2AgBr structure from the Alexandria database. Energies are from PBE-GGA.

abc: 3.810 3.810 8.703
angles: 77.36 77.36 60.00
Last column: magnetic moment on the atom in μB.
Fractional positions:
Dy 0.255 0.255 0.236  0.29
Br 0.500 0.500 0.501  0.00
Ag 0.667 0.667 0.998  0.04
Dy 0.079 0.079 0.764  0.15

Values from the calculation:
For the magnetization, the calculation gives 0.77 μB/cell. For the energy above the most stable polymorph in this dataset, the calculation gives 0.0 meV/atom. The calculation puts the total energy at -3.970 eV/atom. The density of states at the Fermi level comes out at 3.7 states/eV/f.u.


No. 11
Here is a geometry-optimized Dy2AgBr8 structure from the Alexandria database. Energies are from PBE-GGA.

abc: 7.845 8.169 8.169
angles: 67.42 88.28 88.28
Last column: magnetic moment on the atom in μB.
Fractional positions:
Br 0.146 0.681 0.110  0.12
Ag 0.000 0.000 0.000  0.24
Br 0.854 0.319 0.890  0.12
Dy 0.328 0.797 0.797  -0.01
Dy 0.672 0.203 0.203  -0.01
Br 0.341 0.174 0.174  0.01
Br 0.279 0.610 0.610  0.00
Br 0.146 0.110 0.681  0.12
Br 0.721 0.390 0.390  0.00
Br 0.659 0.826 0.826  0.01
Br 0.854 0.890 0.319  0.12

Values from the calculation:
For the magnetization, the calculation gives 0.90 μB/cell. The calculation puts the total energy at -3.560 eV/atom. The density of states at the Fermi level comes out at 3.1 states/eV/f.u.


No. 12
Here is a geometry-optimized Dy2AgBr structure from the Alexandria database. Energies are from PBE-GGA.

abc: 3.435 3.435 10.854
angles: 80.89 80.89 60.00
Fractional positions:
Ag 0.000 0.000 0.000
Dy 0.908 0.908 0.275
Dy 0.092 0.092 0.725
Br 0.500 0.500 0.500

Values from the calculation:
For the magnetization, the calculation gives 0.00 μB/cell. For the energy above the most stable polymorph in this dataset, the calculation gives 348.1 meV/atom. The calculation puts the total energy at -3.622 eV/atom. The density of states at the Fermi level comes out at 2.3 states/eV/f.u.